# 1
PBE Pm6Tl2Tc, relaxed; formation energy = -0.189 eV per atom; N(E_F) = 10.3 states/eV/f.u.; theoretical density = 8.5 g/cm³
1.0
3.997 0.000 0.000
0.000 7.593 4.425
0.000 -7.593 4.425
Pm Tl Tc
6 2 1
direct
0.000 0.000 0.000 Pm
0.000 0.516 0.748 Pm
0.000 0.748 0.516 Pm
0.500 0.142 0.751 Pm
0.500 0.357 0.357 Pm
0.500 0.751 0.142 Pm
0.000 0.082 0.421 Tl
0.000 0.421 0.082 Tl
0.500 0.774 0.774 Tc

=====

# 2
PBE Pm2TlTc, relaxed; formation energy = 0.240 eV per atom; N(E_F) = 3.7 states/eV/f.u.; theoretical density = 8.4 g/cm³; ΔE to the lowest computed polymorph = 321 meV/atom
1.0
1.768 1.021 10.768
-1.768 1.021 10.768
0.000 -2.042 10.768
Pm Tl Tc
2 1 1
direct
0.104 0.104 0.104 Pm
0.896 0.896 0.896 Pm
0.000 0.000 0.000 Tl
0.500 0.500 0.500 Tc

=====

# 3
PBE PmTm2Tc9, relaxed; formation energy = -0.065 eV per atom; N(E_F) = 12.9 states/eV/f.u.; theoretical density = 10.5 g/cm³
1.0
2.681 1.548 8.691
-2.681 1.548 8.691
0.000 -3.096 8.691
Pm Tm Tc
1 2 9
direct
0.000 0.000 0.000 Pm
0.144 0.144 0.144 Tm
0.856 0.856 0.856 Tm
0.073 0.590 0.590 Tc
0.339 0.339 0.339 Tc
0.410 0.410 0.927 Tc
0.410 0.927 0.410 Tc
0.500 0.500 0.500 Tc
0.590 0.073 0.590 Tc
0.590 0.590 0.073 Tc
0.661 0.661 0.661 Tc
0.927 0.410 0.410 Tc

=====

# 4
PBE PmTm2Tc, relaxed; formation energy = -0.031 eV per atom; N(E_F) = 6.8 states/eV/f.u.; theoretical density = 9.2 g/cm³; ΔE to the lowest computed polymorph = 69 meV/atom
1.0
3.420 0.000 0.000
0.000 3.420 0.000
0.000 0.000 9.011
Pm Tm Tc
1 2 1
direct
0.000 0.000 0.000 Pm
0.500 0.500 0.319 Tm
0.500 0.500 0.681 Tm
0.000 0.000 0.500 Tc

=====

# 5
PBE Pm2TmTc, relaxed; formation energy = 0.138 eV per atom; N(E_F) = 5.6 states/eV/f.u.; theoretical density = 8.5 g/cm³; ΔE to the lowest computed polymorph = 176 meV/atom
1.0
3.535 0.000 0.000
0.000 3.535 0.000
0.000 0.000 8.705
Pm Tm Tc
2 1 1
direct
0.000 0.000 0.195 Pm
0.000 0.000 0.805 Pm
0.500 0.500 0.500 Tm
0.500 0.500 0.000 Tc

=====

# 6
PBE PmTm4Tc, relaxed; formation energy = -0.037 eV per atom; N(E_F) = 5.1 states/eV/f.u.; theoretical density = 9.3 g/cm³
1.0
8.704 0.000 0.000
0.000 3.704 0.000
0.000 0.000 20.346
Pm Tm Tc
4 16 4
direct
0.226 0.250 0.188 Pm
0.274 0.750 0.688 Pm
0.726 0.250 0.312 Pm
0.774 0.750 0.812 Pm
0.010 0.750 0.566 Tm
0.039 0.750 0.294 Tm
0.130 0.750 0.044 Tm
0.151 0.750 0.858 Tm
0.349 0.250 0.358 Tm
0.370 0.250 0.544 Tm
0.461 0.250 0.794 Tm
0.490 0.250 0.066 Tm
0.510 0.750 0.934 Tm
0.539 0.750 0.206 Tm
0.630 0.750 0.456 Tm
0.651 0.750 0.642 Tm
0.849 0.250 0.142 Tm
0.870 0.250 0.956 Tm
0.961 0.250 0.706 Tm
0.990 0.250 0.434 Tm
0.240 0.750 0.455 Tc
0.260 0.250 0.955 Tc
0.740 0.750 0.045 Tc
0.760 0.250 0.545 Tc